# PBEsol SrAlInSe2, optimized geometry
data_SrAlInSe2
_chemical_formula_sum 'Sr1 Al1 In1 Se2'
_cell_length_a 4.9843
_cell_length_b 4.9843
_cell_length_c 5.7389
_cell_angle_alpha 90.00
_cell_angle_beta 90.00
_cell_angle_gamma 90.00
_symmetry_space_group_name_H-M 'P 1'
_symmetry_Int_Tables_number 1
_symmetry_space_group_name_Hall 'P 1'
loop_
_atom_site_label
_atom_site_fract_x
_atom_site_fract_y
_atom_site_fract_z
_atom_site_occupancy
Sr1 0.0000 0.0000 0.0000 1
Al1 0.0000 0.0000 0.5000 1
In1 0.5000 0.5000 0.0000 1
Se1 0.0000 0.5000 0.5000 1
Se2 0.5000 0.0000 0.5000 1
# - SG = P4/mmm, No. 123
# - calculated density (Mg/m³) = 4.5
# - energy relative to the elements, uncorrected (eV/atom) = -0.132
# - size of the total moment (μB/atom) = 0.0001
# - volume (A^3/atom) = 28.5

# PBEsol AlTlIn2Se, optimized geometry
data_AlTlIn2Se
_chemical_formula_sum 'Al1 Tl1 In2 Se1'
_cell_length_a 5.2947
_cell_length_b 5.2947
_cell_length_c 5.8951
_cell_angle_alpha 90.00
_cell_angle_beta 90.00
_cell_angle_gamma 90.00
_symmetry_space_group_name_H-M 'P 1'
_symmetry_Int_Tables_number 1
_symmetry_space_group_name_Hall 'P 1'
loop_
_atom_site_label
_atom_site_fract_x
_atom_site_fract_y
_atom_site_fract_z
_atom_site_occupancy
Al1 0.0000 0.0000 0.0000 1
Tl1 0.5000 0.5000 0.0000 1
In1 0.0000 0.5000 0.5000 1
In2 0.5000 0.0000 0.5000 1
Se1 0.5000 0.5000 0.5000 1
# - SG = P4/mmm, No. 123
# - calculated density (Mg/m³) = 5.4
# - energy relative to the elements, uncorrected (eV/atom) = 0.530
# - size of the total moment (μB/atom) = 0.0000
# - volume (A^3/atom) = 33.1

# PBEsol Al2InSi, optimized geometry
data_Al2InSi
_chemical_formula_sum 'Al2 In1 Si1'
_cell_length_a 5.3259
_cell_length_b 5.3259
_cell_length_c 5.3259
_cell_angle_alpha 139.18
_cell_angle_beta 131.22
_cell_angle_gamma 65.44
_symmetry_space_group_name_H-M 'P 1'
_symmetry_Int_Tables_number 1
_symmetry_space_group_name_Hall 'P 1'
loop_
_atom_site_label
_atom_site_fract_x
_atom_site_fract_y
_atom_site_fract_z
_atom_site_occupancy
Al1 0.0000 0.0000 0.0000 1
Al2 0.7353 0.2353 0.5000 1
In1 0.2710 0.7710 0.5000 1
Si1 0.5233 0.5233 0.0000 1
# - SG = Imm2, No. 44
# - calculated density (Mg/m³) = 4.5
# - energy relative to the elements, uncorrected (eV/atom) = 0.240
# - size of the total moment (μB/atom) = 0.0001
# - volume (A^3/atom) = 18.3

# PBEsol AlInSi2, optimized geometry
data_AlInSi2
_chemical_formula_sum 'Al1 In1 Si2'
_cell_length_a 2.7769
_cell_length_b 3.5965
_cell_length_c 7.3993
_cell_angle_alpha 90.00
_cell_angle_beta 90.00
_cell_angle_gamma 90.00
_symmetry_space_group_name_H-M 'P 1'
_symmetry_Int_Tables_number 1
_symmetry_space_group_name_Hall 'P 1'
loop_
_atom_site_label
_atom_site_fract_x
_atom_site_fract_y
_atom_site_fract_z
_atom_site_occupancy
Al1 0.0000 0.0000 0.0000 1
In1 0.5000 0.5000 0.2854 1
Si1 0.5000 0.0000 0.5830 1
Si2 0.5000 0.5000 0.8059 1
# - SG = Pmm2, No. 25
# - calculated density (Mg/m³) = 4.4
# - energy relative to the elements, uncorrected (eV/atom) = 0.229
# - size of the total moment (μB/atom) = 0.0001
# - volume (A^3/atom) = 18.5
# - energy above the most stable polymorph in this dataset (meV per atom) = 0.0

# PBEsol AlInSi2, optimized geometry
data_AlInSi2
_chemical_formula_sum 'Al1 In1 Si2'
_cell_length_a 3.2365
_cell_length_b 3.2365
_cell_length_c 6.8905
_cell_angle_alpha 90.00
_cell_angle_beta 90.00
_cell_angle_gamma 90.00
_symmetry_space_group_name_H-M 'P 1'
_symmetry_Int_Tables_number 1
_symmetry_space_group_name_Hall 'P 1'
loop_
_atom_site_label
_atom_site_fract_x
_atom_site_fract_y
_atom_site_fract_z
_atom_site_occupancy
Al1 0.0000 0.0000 0.0000 1
In1 0.5000 0.5000 0.3066 1
Si1 0.0000 0.0000 0.6158 1
Si2 0.5000 0.5000 0.7778 1
# - SG = P4mm, No. 99
# - calculated density (Mg/m³) = 4.6
# - energy relative to the elements, uncorrected (eV/atom) = 0.240
# - size of the total moment (μB/atom) = 0.0001
# - volume (A^3/atom) = 18.0
# - energy above the most stable polymorph in this dataset (meV per atom) = 11.5

# PBEsol AlIn4Si, optimized geometry
data_AlIn4Si
_chemical_formula_sum 'Al1 In4 Si1'
_cell_length_a 5.9137
_cell_length_b 5.9137
_cell_length_c 5.9137
_cell_angle_alpha 60.00
_cell_angle_beta 60.00
_cell_angle_gamma 60.00
_symmetry_space_group_name_H-M 'P 1'
_symmetry_Int_Tables_number 1
_symmetry_space_group_name_Hall 'P 1'
loop_
_atom_site_label
_atom_site_fract_x
_atom_site_fract_y
_atom_site_fract_z
_atom_site_occupancy
Al1 0.0000 0.0000 0.0000 1
In1 0.3751 0.3751 0.3751 1
In2 0.3751 0.3751 0.8748 1
In3 0.3751 0.8748 0.3751 1
In4 0.8748 0.3751 0.3751 1
Si1 0.7500 0.7500 0.7500 1
# - SG = F-43m, No. 216
# - calculated density (Mg/m³) = 5.8
# - energy relative to the elements, uncorrected (eV/atom) = 0.496
# - size of the total moment (μB/atom) = 0.0000
# - volume (A^3/atom) = 24.4

# PBEsol AlInSi2, optimized geometry
data_AlInSi2
_chemical_formula_sum 'Al1 In1 Si2'
_cell_length_a 4.4457
_cell_length_b 4.4457
_cell_length_c 3.6419
_cell_angle_alpha 90.00
_cell_angle_beta 90.00
_cell_angle_gamma 98.72
_symmetry_space_group_name_H-M 'P 1'
_symmetry_Int_Tables_number 1
_symmetry_space_group_name_Hall 'P 1'
loop_
_atom_site_label
_atom_site_fract_x
_atom_site_fract_y
_atom_site_fract_z
_atom_site_occupancy
Al1 0.0000 0.0000 0.0000 1
In1 0.5000 0.5000 0.0000 1
Si1 0.0000 0.5000 0.5000 1
Si2 0.5000 0.0000 0.5000 1
# - SG = Cmmm, No. 65
# - calculated density (Mg/m³) = 4.6
# - energy relative to the elements, uncorrected (eV/atom) = 0.360
# - size of the total moment (μB/atom) = 0.0001
# - volume (A^3/atom) = 17.8
# - energy above the most stable polymorph in this dataset (meV per atom) = 131.3

# PBEsol AlInSi3, optimized geometry
data_AlInSi3
_chemical_formula_sum 'Al1 In1 Si3'
_cell_length_a 5.0106
_cell_length_b 5.0106
_cell_length_c 5.0106
_cell_angle_alpha 90.00
_cell_angle_beta 90.00
_cell_angle_gamma 90.00
_symmetry_space_group_name_H-M 'P 1'
_symmetry_Int_Tables_number 1
_symmetry_space_group_name_Hall 'P 1'
loop_
_atom_site_label
_atom_site_fract_x
_atom_site_fract_y
_atom_site_fract_z
_atom_site_occupancy
Al1 0.0000 0.0000 0.0000 1
In1 0.5000 0.5000 0.5000 1
Si1 0.0000 0.5000 0.5000 1
Si2 0.5000 0.0000 0.5000 1
Si3 0.5000 0.5000 0.0000 1
# - SG = Pm-3m, No. 221
# - calculated density (Mg/m³) = 3.0
# - energy relative to the elements, uncorrected (eV/atom) = 1.367
# - size of the total moment (μB/atom) = 0.0001
# - volume (A^3/atom) = 25.2

# PBEsol SrAlIn, optimized geometry
data_SrAlIn
_chemical_formula_sum 'Sr1 Al1 In1'
_cell_length_a 4.7752
_cell_length_b 4.7752
_cell_length_c 4.1195
_cell_angle_alpha 90.00
_cell_angle_beta 90.00
_cell_angle_gamma 120.00
_symmetry_space_group_name_H-M 'P 1'
_symmetry_Int_Tables_number 1
_symmetry_space_group_name_Hall 'P 1'
loop_
_atom_site_label
_atom_site_fract_x
_atom_site_fract_y
_atom_site_fract_z
_atom_site_occupancy
Sr1 0.0000 0.0000 0.0000 1
Al1 0.6667 0.3333 0.5000 1
In1 0.3333 0.6667 0.5000 1
# - total DFT energy (no corrections) (eV for the cell shown) = -9.9
# - SG = P-6m2, No. 187
# - calculated density (Mg/m³) = 4.7
# - size of the total moment (μB/atom) = 0.0000
# - volume (A^3/atom) = 27.1

# PBEsol SrAl2In, optimized geometry
data_SrAl2In
_chemical_formula_sum 'Sr1 Al2 In1'
_cell_length_a 9.7029
_cell_length_b 9.7029
_cell_length_c 9.7029
_cell_angle_alpha 21.18
_cell_angle_beta 21.18
_cell_angle_gamma 21.18
_symmetry_space_group_name_H-M 'P 1'
_symmetry_Int_Tables_number 1
_symmetry_space_group_name_Hall 'P 1'
loop_
_atom_site_label
_atom_site_fract_x
_atom_site_fract_y
_atom_site_fract_z
_atom_site_occupancy
Sr1 0.0000 0.0000 0.0000 1
Al1 0.2407 0.2407 0.2407 1
Al2 0.7593 0.7593 0.7593 1
In1 0.5000 0.5000 0.5000 1
# - SG = R-3m, No. 166
# - calculated density (Mg/m³) = 4.1
# - size of the total moment (μB/atom) = 0.0000
# - volume (A^3/atom) = 26.1
# - energy above the most stable polymorph in this dataset (meV per atom) = 308.1

# PBEsol SrAlIn2, optimized geometry
data_SrAlIn2
_chemical_formula_sum 'Sr2 Al2 In4'
_cell_length_a 6.4531
_cell_length_b 6.4531
_cell_length_c 7.9095
_cell_angle_alpha 90.00
_cell_angle_beta 90.00
_cell_angle_gamma 138.09
_symmetry_space_group_name_H-M 'P 1'
_symmetry_Int_Tables_number 1
_symmetry_space_group_name_Hall 'P 1'
loop_
_atom_site_label
_atom_site_fract_x
_atom_site_fract_y
_atom_site_fract_z
_atom_site_occupancy
Sr1 0.0696 0.9304 0.7500 1
Sr2 0.9304 0.0696 0.2500 1
Al1 0.2150 0.7850 0.2500 1
Al2 0.7850 0.2150 0.7500 1
In1 0.3626 0.6374 0.5511 1
In2 0.3626 0.6374 0.9489 1
In3 0.6374 0.3626 0.0511 1
In4 0.6374 0.3626 0.4489 1
# - total DFT energy (no corrections) (eV for the cell shown) = -26.0
# - SG = Cmcm, No. 63
# - calculated density (Mg/m³) = 5.2
# - size of the total moment (μB/atom) = 0.0000
# - volume (A^3/atom) = 27.5

# PBEsol Sr11Al4In3, optimized geometry
data_Sr11Al4In3
_chemical_formula_sum 'Sr22 Al8 In6'
_cell_length_a 12.2236
_cell_length_b 12.2236
_cell_length_c 12.2236
_cell_angle_alpha 60.00
_cell_angle_beta 60.00
_cell_angle_gamma 60.00
_symmetry_space_group_name_H-M 'P 1'
_symmetry_Int_Tables_number 1
_symmetry_space_group_name_Hall 'P 1'
loop_
_atom_site_label
_atom_site_fract_x
_atom_site_fract_y
_atom_site_fract_z
_atom_site_occupancy
Sr1 0.0000 0.0000 0.0000 1
Sr2 0.0000 0.0000 0.3373 1
Sr3 0.0000 0.0000 0.6627 1
Sr4 0.0000 0.3373 0.0000 1
Sr5 0.0000 0.3373 0.6627 1
Sr6 0.0000 0.6627 0.0000 1
Sr7 0.0000 0.6627 0.3373 1
Sr8 0.1075 0.6308 0.6308 1
Sr9 0.3373 0.0000 0.0000 1
Sr10 0.3373 0.0000 0.6627 1
Sr11 0.3373 0.6627 0.0000 1
Sr12 0.3692 0.3692 0.3692 1
Sr13 0.3692 0.3692 0.8925 1
Sr14 0.3692 0.8925 0.3692 1
Sr15 0.5000 0.5000 0.5000 1
Sr16 0.6308 0.1075 0.6308 1
Sr17 0.6308 0.6308 0.1075 1
Sr18 0.6308 0.6308 0.6308 1
Sr19 0.6627 0.0000 0.0000 1
Sr20 0.6627 0.0000 0.3373 1
Sr21 0.6627 0.3373 0.0000 1
Sr22 0.8925 0.3692 0.3692 1
Al1 0.1943 0.1943 0.1943 1
Al2 0.1943 0.1943 0.4170 1
Al3 0.1943 0.4170 0.1943 1
Al4 0.4170 0.1943 0.1943 1
Al5 0.5830 0.8057 0.8057 1
Al6 0.8057 0.5830 0.8057 1
Al7 0.8057 0.8057 0.5830 1
Al8 0.8057 0.8057 0.8057 1
In1 0.2799 0.2799 0.7201 1
In2 0.2799 0.7201 0.2799 1
In3 0.2799 0.7201 0.7201 1
In4 0.7201 0.2799 0.2799 1
In5 0.7201 0.2799 0.7201 1
In6 0.7201 0.7201 0.2799 1
# - total DFT energy (no corrections) (eV for the cell shown) = -100.7
# - SG = Fm-3m, No. 225
# - calculated density (Mg/m³) = 3.6
# - size of the total moment (μB/atom) = 0.0000
# - volume (A^3/atom) = 35.9